Record 1
Entry from Alexandria via LeMat-Bulk: an optimized crystal structure of CeAl4Ga2 (PBE).

Cell: 4.154 4.169 7.924 Å, 105.25 90.00 90.00°
Each line ends with the local moment (μB).
Fractional coordinates of all 7 atoms:
Ce: 0.000 0.000 0.000  0.75
Ga: 0.500 0.419 0.839  0.01
Ga: 0.500 0.581 0.161  0.01
Al: 0.000 0.312 0.624  0.00
Al: 0.000 0.688 0.376  0.00
Al: 0.500 0.185 0.369  0.00
Al: 0.500 0.815 0.631  0.00

Values from the calculation:
- calculated volume (Å³/cell) = 132.4
- DFT total energy (eV/atom) = -4.09
- SG = No. 65
- formation energy from the elements (eV per formula unit) = -1.7
- total moment (μB/atom) = 0.15

Record 2
Entry from Alexandria via LeMat-Bulk: an optimized crystal structure of ZnCr2Cl (PBE).

Cell: 7.961 7.960 7.961 Å, 23.21 23.21 23.21°
Each line ends with the local moment (μB).
Fractional coordinates of all 4 atoms:
Cr: 0.500 0.500 0.500  3.63
Cr: 0.000 0.000 0.000  3.63
Zn: 0.250 0.250 0.250  -0.04
Cl: 0.750 0.750 0.750  0.02

Values from the calculation:
- calculated volume (Å³/cell) = 68.8
- DFT total energy (eV/atom) = -5.27
- SG = No. 166
- formation energy (no corrections) (meV per atom) = 318.0
- total moment (μB/atom) = 1.99

Repeat the first record exactly.
Entry from Alexandria via LeMat-Bulk: an optimized crystal structure of CeAl4Ga2 (PBE).

Cell: 4.154 4.169 7.924 Å, 105.25 90.00 90.00°
Each line ends with the local moment (μB).
Fractional coordinates of all 7 atoms:
Ce: 0.000 0.000 0.000  0.75
Ga: 0.500 0.419 0.839  0.01
Ga: 0.500 0.581 0.161  0.01
Al: 0.000 0.312 0.624  0.00
Al: 0.000 0.688 0.376  0.00
Al: 0.500 0.185 0.369  0.00
Al: 0.500 0.815 0.631  0.00

Values from the calculation:
- calculated volume (Å³/cell) = 132.4
- DFT total energy (eV/atom) = -4.09
- SG = No. 65
- formation energy from the elements (eV per formula unit) = -1.7
- total moment (μB/atom) = 0.15

Repeat the first record exactly.
Entry from Alexandria via LeMat-Bulk: an optimized crystal structure of CeAl4Ga2 (PBE).

Cell: 4.154 4.169 7.924 Å, 105.25 90.00 90.00°
Each line ends with the local moment (μB).
Fractional coordinates of all 7 atoms:
Ce: 0.000 0.000 0.000  0.75
Ga: 0.500 0.419 0.839  0.01
Ga: 0.500 0.581 0.161  0.01
Al: 0.000 0.312 0.624  0.00
Al: 0.000 0.688 0.376  0.00
Al: 0.500 0.185 0.369  0.00
Al: 0.500 0.815 0.631  0.00

Values from the calculation:
- calculated volume (Å³/cell) = 132.4
- DFT total energy (eV/atom) = -4.09
- SG = No. 65
- formation energy from the elements (eV per formula unit) = -1.7
- total moment (μB/atom) = 0.15

Please write out number 2 again, unchanged.
Entry from Alexandria via LeMat-Bulk: an optimized crystal structure of ZnCr2Cl (PBE).

Cell: 7.961 7.960 7.961 Å, 23.21 23.21 23.21°
Each line ends with the local moment (μB).
Fractional coordinates of all 4 atoms:
Cr: 0.500 0.500 0.500  3.63
Cr: 0.000 0.000 0.000  3.63
Zn: 0.250 0.250 0.250  -0.04
Cl: 0.750 0.750 0.750  0.02

Values from the calculation:
- calculated volume (Å³/cell) = 68.8
- DFT total energy (eV/atom) = -5.27
- SG = No. 166
- formation energy (no corrections) (meV per atom) = 318.0
- total moment (μB/atom) = 1.99